8
Lattice="2.606 1.505 8.513 -2.606 1.505 8.513 0.000 -3.009 8.513" Properties=species:S:1:pos:R:3 comment="Ca2PrThAu4 | Alexandria | PBE | optimized geometry" volume_a3_per_cell=200 final_energy_ev_per_atom=-4.413 pbc="T T T"
Ca 0.000 0.000 6.332
Ca 0.000 0.000 19.209
Pr 0.000 0.000 12.770
Th 0.000 0.000 0.000
Au 0.000 0.000 3.122
Au 0.000 0.000 9.470
Au 0.000 0.000 16.071
Au 0.000 0.000 22.418